[1]
{
  "formula": "Ac2DyPd",
  "functional": "PBE",
  "state": "optimized geometry",
  "vol_a3_per_cell": 132.6,
  "polymorph_energy_mev_per_atom": 0,
  "magmom_total_mub_per_cell": 0.000,
  "e_form_ev_per_atom": -0.2888,
  "total_energy_ev_per_atom": -4.792,
  "lattice": [[3.895, 0.000, 0.000], [0.000, 3.895, 0.000], [0.000, 0.000, 8.735]],
  "species": ["Ac", "Ac", "Pd", "Dy"],
  "fractional_positions": [[0.000, 0.000, 0.793], [0.000, 0.000, 0.207], [0.500, 0.500, 0.000], [0.500, 0.500, 0.500]]
}

=====

[2]
{
  "formula": "KOsPt2",
  "functional": "PBE",
  "state": "optimized geometry",
  "vol_a3_per_cell": 84.3,
  "polymorph_energy_mev_per_atom": 180,
  "magmom_total_mub_per_cell": 0.000,
  "e_form_ev_per_atom": 0.4448,
  "total_energy_ev_per_atom": -5.657,
  "lattice": [[-4.172, 1.209, 1.155], [-2.963, 0.192, 3.374], [1.914, 6.688, 2.023]],
  "species": ["K", "Os", "Pt", "Pt"],
  "fractional_positions": [[0.250, 0.250, 0.250], [0.750, 0.750, 0.750], [0.009, 0.009, 0.918], [0.491, 0.491, 0.582]]
}

=====

> Which formula does entry 1 have?

Ac2DyPd